(1)
The following is a DFT calculation (PBE-GGA) of a relaxed Li4Mg2CdGa crystal.

Cell lengths 4.646, 4.646, 6.598 Å; angles 90.00, 90.00, 90.00 degrees
Atoms (fractional coordinates):
1 Li 0.000 0.000 0.000
2 Li 0.000 0.500 0.239
3 Li 0.500 0.000 0.761
4 Li 0.500 0.500 0.500
5 Mg 0.000 0.500 0.763
6 Mg 0.500 0.000 0.237
7 Cd 0.000 0.000 0.500
8 Ga 0.500 0.500 0.000

Mass density = 3.014 Mg/m³
VASP energy = -16.34 eV/cell
SG = P-4m2, No. 115


(2)
The following is a DFT calculation (PBE-GGA) of a relaxed LiMgCdGa crystal.

Cell lengths 4.737, 4.737, 4.737 Å; angles 60.00, 60.00, 60.00 degrees
Atoms (fractional coordinates):
1 Li 0.000 0.000 0.000
2 Mg 0.500 0.500 0.500
3 Cd 0.250 0.250 0.250
4 Ga 0.750 0.750 0.750

Mass density = 4.713 Mg/m³
VASP energy = -8.12 eV/cell
SG = F-43m, No. 216


(3)
The following is a DFT calculation (PBE-GGA) of a relaxed Li2Mg2CdGaPd2 crystal.

Cell lengths 4.500, 4.500, 6.401 Å; angles 90.00, 90.00, 90.00 degrees
Atoms (fractional coordinates):
1 Li 0.000 0.500 0.239
2 Li 0.500 0.000 0.761
3 Mg 0.000 0.000 0.000
4 Mg 0.500 0.500 0.500
5 Cd 0.000 0.000 0.500
6 Ga 0.500 0.500 0.000
7 Pd 0.000 0.500 0.772
8 Pd 0.500 0.000 0.228

Mass density = 5.860 Mg/m³
VASP energy = -25.35 eV/cell
SG = P-4m2, No. 115


(4)
The following is a DFT calculation (PBE-GGA) of a relaxed Li2MgCd2GaPt2 crystal.

Cell lengths 4.530, 4.530, 6.419 Å; angles 90.00, 90.00, 90.00 degrees
Atoms (fractional coordinates):
1 Li 0.000 0.500 0.240
2 Li 0.500 0.000 0.760
3 Mg 0.500 0.500 0.500
4 Cd 0.000 0.000 0.500
5 Cd 0.500 0.500 0.000
6 Ga 0.000 0.000 0.000
7 Pt 0.000 0.500 0.762
8 Pt 0.500 0.000 0.238

Mass density = 9.113 Mg/m³
VASP energy = -26.59 eV/cell
SG = P-4m2, No. 115
Size of the total moment = 0.00 μB per formula unit


- mass density of number 3 (Li2Mg2CdGaPd2)?
  5.860 Mg/m³